Material: Ca2MnI
Method: DFT, GGA-PBE
State: optimized geometry

Properties
SG	I-42d
ΔE_f (raw)	0.09	eV per atom
total DFT energy (no corrections)	-3.59	eV/atom
mass density	3.22	g cm⁻³

Cell lengths 8.465, 8.465, 7.539 Å; angles 90.00, 90.00, 90.00 degrees
Element x y z (fractional)
Ca 0.242 0.250 0.125
Ca 0.250 0.742 0.375
Ca 0.250 0.758 0.875
Ca 0.258 0.250 0.625
Ca 0.742 0.750 0.625
Ca 0.750 0.242 0.875
Ca 0.750 0.258 0.375
Ca 0.758 0.750 0.125
Mn 0.000 0.000 0.000
Mn 0.000 0.500 0.250
Mn 0.500 0.000 0.750
Mn 0.500 0.500 0.500
I 0.000 0.000 0.500
I 0.000 0.500 0.750
I 0.500 0.000 0.250
I 0.500 0.500 0.000

---

Material: ErRhS
Method: DFT, GGA-PBE
State: optimized geometry

Properties
SG	P6_222
ΔE_f (raw)	-0.29	eV per atom
total DFT energy (no corrections)	-5.63	eV/atom
mass density	7.70	g cm⁻³

Cell lengths 6.235, 6.235, 11.609 Å; angles 90.00, 90.00, 120.00 degrees
Element x y z (fractional)
Er 0.000 0.500 0.390
Er 0.000 0.500 0.944
Er 0.500 0.000 0.277
Er 0.500 0.000 0.723
Er 0.500 0.500 0.056
Er 0.500 0.500 0.610
Rh 0.232 0.616 0.167
Rh 0.384 0.616 0.833
Rh 0.384 0.768 0.500
Rh 0.616 0.232 0.500
Rh 0.616 0.384 0.833
Rh 0.768 0.384 0.167
S 0.000 0.000 0.167
S 0.000 0.000 0.500
S 0.000 0.000 0.833
S 0.000 0.500 0.667
S 0.500 0.000 0.000
S 0.500 0.500 0.333

---

Material: HoOsS
Method: DFT, GGA-PBE
State: optimized geometry

Properties
SG	Amm2
ΔE_f (raw)	-0.12	eV per atom
total DFT energy (no corrections)	-6.77	eV/atom
mass density	11.44	g cm⁻³

Cell lengths 10.988, 3.267, 6.263 Å; angles 90.00, 90.00, 90.00 degrees
Element x y z (fractional)
Ho 0.187 0.000 0.000
Ho 0.187 0.500 0.500
Ho 0.813 0.000 0.000
Ho 0.813 0.500 0.500
Os 0.000 0.000 0.319
Os 0.000 0.500 0.819
Os 0.500 0.000 0.031
Os 0.500 0.500 0.531
S 0.368 0.000 0.328
S 0.368 0.500 0.828
S 0.632 0.000 0.328
S 0.632 0.500 0.828

---

Material: RbPm2Br8
Method: DFT, GGA-PBE
State: optimized geometry

Properties
SG	C2/m
ΔE_f (raw)	-1.62	eV per atom
total DFT energy (no corrections)	-3.78	eV/atom
mass density	3.61	g cm⁻³

Cell lengths 7.561, 7.561, 8.683 Å; angles 99.31, 99.31, 73.62 degrees
Element x y z (fractional)
Rb 0.000 0.000 0.000
Pm 0.323 0.323 0.538
Pm 0.677 0.677 0.462
Br 0.042 0.663 0.660
Br 0.230 0.230 0.815
Br 0.337 0.958 0.340
Br 0.443 0.443 0.282
Br 0.557 0.557 0.718
Br 0.663 0.042 0.660
Br 0.770 0.770 0.185
Br 0.958 0.337 0.340

---

Material: Pm4Ga16Pt3
Method: DFT, GGA-PBE
State: optimized geometry

Properties
ΔH_f (0 K)	-0.649	eV/atom
SG	P4/mmm
total DFT energy (no corrections)	-4.37	eV/atom
mass density	8.55	g cm⁻³

Cell lengths 6.281, 6.281, 11.225 Å; angles 90.00, 90.00, 90.00 degrees
Element x y z (fractional)
Pm 0.000 0.500 0.192
Pm 0.000 0.500 0.808
Pm 0.500 0.000 0.192
Pm 0.500 0.000 0.808
Ga 0.000 0.000 0.201
Ga 0.000 0.000 0.799
Ga 0.209 0.209 0.000
Ga 0.209 0.791 0.000
Ga 0.246 0.246 0.378
Ga 0.246 0.246 0.622
Ga 0.246 0.754 0.378
Ga 0.246 0.754 0.622
Ga 0.500 0.500 0.232
Ga 0.500 0.500 0.768
Ga 0.754 0.246 0.378
Ga 0.754 0.246 0.622
Ga 0.754 0.754 0.378
Ga 0.754 0.754 0.622
Ga 0.791 0.209 0.000
Ga 0.791 0.791 0.000
Pt 0.000 0.500 0.500
Pt 0.500 0.000 0.500
Pt 0.500 0.500 0.000

---

Material: BeRu2Rh
Method: DFT, GGA-PBE
State: optimized geometry

Properties
ΔH_f (0 K)	0.028	eV/atom
SG	C2/m
total DFT energy (no corrections)	-7.38	eV/atom
mass density	10.02	g cm⁻³

Cell lengths 8.724, 2.706, 4.494 Å; angles 90.00, 101.15, 90.00 degrees
Element x y z (fractional)
Be 0.000 0.000 0.000
Be 0.500 0.500 0.000
Ru 0.248 0.500 0.238
Ru 0.252 0.000 0.762
Ru 0.748 0.000 0.238
Ru 0.752 0.500 0.762
Rh 0.000 0.500 0.500
Rh 0.500 0.000 0.500

---

Material: Dy6PS12
Method: DFT, GGA-PBE
State: optimized geometry

Properties
SG	R-3
ΔE_f (raw)	-1.55	eV per atom
total DFT energy (no corrections)	-5.89	eV/atom
mass density	5.33	g cm⁻³

Cell lengths 7.656, 7.656, 7.656 Å; angles 98.30, 98.30, 98.30 degrees
Element x y z (fractional)
Dy 0.135 0.636 0.805
Dy 0.195 0.865 0.364
Dy 0.364 0.195 0.865
Dy 0.636 0.805 0.135
Dy 0.805 0.135 0.636
Dy 0.865 0.364 0.195
P 0.500 0.500 0.500
S 0.064 0.320 0.918
S 0.082 0.936 0.680
S 0.197 0.519 0.451
S 0.320 0.918 0.064
S 0.451 0.197 0.519
S 0.481 0.549 0.803
S 0.519 0.451 0.197
S 0.549 0.803 0.481
S 0.680 0.082 0.936
S 0.803 0.481 0.549
S 0.918 0.064 0.320
S 0.936 0.680 0.082

---

Material: La4Tb5Ho
Method: DFT, GGA-PBE
State: optimized geometry

Properties
ΔH_f (0 K)	0.187	eV/atom
SG	C2/m
total DFT energy (no corrections)	-4.56	eV/atom
mass density	7.14	g cm⁻³

Cell lengths 8.811, 8.811, 11.472 Å; angles 90.04, 90.04, 23.32 degrees
Element x y z (fractional)
La 0.032 0.032 0.250
La 0.338 0.338 0.250
La 0.662 0.662 0.750
La 0.968 0.968 0.750
Tb 0.172 0.172 0.049
Tb 0.173 0.173 0.450
Tb 0.500 0.500 0.500
Tb 0.827 0.827 0.550
Tb 0.828 0.828 0.951
Ho 0.500 0.500 0.000

---

Material: SiAg8S2O4
Method: DFT, GGA-PBE
State: optimized geometry

Properties
SG	I4_1/amd
ΔE_f (raw)	-0.35	eV per atom
total DFT energy (no corrections)	-4.11	eV/atom
mass density	6.20	g cm⁻³

Cell lengths 11.130, 11.130, 11.130 Å; angles 140.83, 140.83, 56.59 degrees
Element x y z (fractional)
Si 0.375 0.625 0.750
Si 0.625 0.375 0.250
Ag 0.024 0.774 0.250
Ag 0.074 0.324 0.148
Ag 0.074 0.926 0.750
Ag 0.225 0.475 0.750
Ag 0.226 0.976 0.250
Ag 0.324 0.074 0.648
Ag 0.324 0.676 0.250
Ag 0.475 0.225 0.250
Ag 0.525 0.775 0.750
Ag 0.676 0.324 0.750
Ag 0.676 0.926 0.352
Ag 0.774 0.024 0.750
Ag 0.775 0.525 0.250
Ag 0.926 0.074 0.250
Ag 0.926 0.676 0.852
Ag 0.976 0.226 0.750
S 0.105 0.355 0.750
S 0.355 0.105 0.250
S 0.645 0.895 0.750
S 0.895 0.645 0.250
O 0.261 0.680 0.581
O 0.320 0.401 0.581
O 0.320 0.739 0.919
O 0.401 0.320 0.081
O 0.599 0.680 0.919
O 0.680 0.261 0.081
O 0.680 0.599 0.419
O 0.739 0.320 0.419

---

Material: Sc6Si2Pb
Method: DFT, GGA-PBE
State: optimized geometry

Properties
SG	Immm
ΔE_f (raw)	-0.55	eV per atom
total DFT energy (no corrections)	-6.38	eV/atom
mass density	4.56	g cm⁻³

Cell lengths 7.976, 7.976, 7.976 Å; angles 113.04, 111.42, 104.09 degrees
Element x y z (fractional)
Sc 0.033 0.243 0.790
Sc 0.188 0.282 0.471
Sc 0.188 0.718 0.906
Sc 0.322 0.023 0.701
Sc 0.322 0.621 0.299
Sc 0.454 0.243 0.210
Sc 0.546 0.757 0.790
Sc 0.678 0.379 0.701
Sc 0.678 0.977 0.299
Sc 0.812 0.282 0.094
Sc 0.812 0.718 0.529
Sc 0.967 0.757 0.210
Si 0.120 0.620 0.500
Si 0.363 0.000 0.363
Si 0.637 0.000 0.637
Si 0.880 0.380 0.500
Pb 0.000 0.000 0.000
Pb 0.500 0.500 0.000

---

Material: AlB2Te
Method: DFT, GGA-PBE
State: optimized geometry

Properties
SG	Fm-3m
ΔE_f (raw)	1.46	eV per atom
total DFT energy (no corrections)	-3.60	eV/atom
mass density	5.20	g cm⁻³

Cell lengths 6.083, 6.083, 6.083 Å; angles 90.00, 90.00, 90.00 degrees
Element x y z (fractional)
Al 0.000 0.000 0.000
Al 0.000 0.500 0.500
Al 0.500 0.000 0.500
Al 0.500 0.500 0.000
B 0.250 0.250 0.250
B 0.250 0.250 0.750
B 0.250 0.750 0.250
B 0.250 0.750 0.750
B 0.750 0.250 0.250
B 0.750 0.250 0.750
B 0.750 0.750 0.250
B 0.750 0.750 0.750
Te 0.000 0.000 0.500
Te 0.000 0.500 0.000
Te 0.500 0.000 0.000
Te 0.500 0.500 0.500

---

Material: PrAgPd
Method: DFT, GGA-PBE
State: optimized geometry

Properties
ΔH_f (0 K)	-0.492	eV/atom
SG	P-6m2
total DFT energy (no corrections)	-4.77	eV/atom
mass density	8.43	g cm⁻³

Cell lengths 4.674, 4.674, 3.698 Å; angles 90.00, 90.00, 120.00 degrees
Element x y z (fractional)
Pr 0.000 0.000 0.000
Ag 0.333 0.667 0.500
Pd 0.667 0.333 0.500